1.
Entry from Alexandria: crystalline NbBiAs2Se at its relaxed geometry (PBE).

It has space group P4/mmm (No. 123), with a = 5.3051 Å, b = 5.3051 Å, c = 5.4124 Å, α = 90.00°, β = 90.00° and γ = 90.00°. Symmetry generates all atoms from Nb at (0.0000, 0.0000, 0.0000), Bi at (0.5000, 0.5000, 0.5000), As at (0.0000, 0.5000, 0.5000) and Se at (0.5000, 0.5000, 0.0000).

The calculation puts the formation energy from raw total energies at 129.3 kJ/mol of atoms.

2.
Entry from Alexandria: crystalline Y2NbBiAs at its relaxed geometry (PBE).

It has space group P4/mmm (No. 123), with a = 5.7215 Å, b = 5.7215 Å, c = 5.2645 Å, α = 90.00°, β = 90.00° and γ = 90.00°. Symmetry generates all atoms from Y at (0.0000, 0.5000, 0.0000), Nb at (0.0000, 0.0000, 0.5000), Bi at (0.0000, 0.0000, 0.0000) and As at (0.5000, 0.5000, 0.5000).

3.
Entry from Alexandria: crystalline Nd5BiAs4 at its relaxed geometry (PBE).

It has space group C2/m (No. 12), with a = 14.4135 Å, b = 4.3228 Å, c = 10.6754 Å, α = 90.00°, β = 119.66° and γ = 90.00°. Symmetry generates all atoms from Nd at (0.0000, 0.0000, 0.0000), Nd at (0.1079, 0.5000, 0.3912), Nd at (0.2051, 0.0000, 0.8122), Bi at (0.0000, 0.0000, 0.5000), As at (0.0977, 0.5000, 0.8991) and As at (0.2023, 0.0000, 0.2958).

4.
Entry from Alexandria: crystalline Nd5Bi2As2 at its relaxed geometry (PBE).

It has space group Cmce (No. 64), with a = 15.8250 Å, b = 8.2287 Å, c = 8.2769 Å, α = 90.00°, β = 90.00° and γ = 90.00°. Symmetry generates all atoms from Nd at (0.0000, 0.0000, 0.0000), Nd at (0.1254, 0.1594, 0.3408), Bi at (0.2043, 0.0000, 0.0000) and As at (0.0000, 0.1460, 0.6446).

5.
Entry from Alexandria: crystalline NdBiAs2 at its relaxed geometry (PBE).

It has space group P4/mmm (No. 123), with a = 5.0180 Å, b = 5.0180 Å, c = 3.9506 Å, α = 90.00°, β = 90.00° and γ = 90.00°. Symmetry generates all atoms from Nd at (0.0000, 0.0000, 0.0000), Bi at (0.5000, 0.5000, 0.0000) and As at (0.0000, 0.5000, 0.5000).

6.
Entry from Alexandria: crystalline Nd4BiAs2 at its relaxed geometry (PBE).

It has space group Cmcm (No. 63), with a = 4.3477 Å, b = 14.0237 Å, c = 14.2807 Å, α = 90.00°, β = 90.00° and γ = 90.00°. Symmetry generates all atoms from Nd at (0.0000, 0.0000, 0.0000), Nd at (0.0000, 0.2662, 0.1176), Nd at (0.0000, 0.4404, 0.7500), Bi at (0.0000, 0.1075, 0.7500) and As at (0.0000, 0.3646, 0.5601).

VASP energy across the listed records, respectively: -4.007 -5.528 -6.010 -5.593 -5.045 -5.744 eV per atom.